No. 1
# Er2CoIr | the Alexandria database | GGA-PBE | optimized geometry
# ΔH_f (0 K)   -0.568 eV/atom
# Calculated density   12.8 g/cm3
data_Er2CoIr
_chemical_formula_sum 'Er8 Co4 Ir4'
_cell_length_a 6.7210
_cell_length_b 6.7210
_cell_length_c 6.7210
_cell_angle_alpha 90.00
_cell_angle_beta 90.00
_cell_angle_gamma 90.00
_symmetry_space_group_name_H-M 'F m -3 m'
_symmetry_Int_Tables_number 225
_symmetry_space_group_name_Hall '-F 4 2 3'
loop_
_atom_site_label
_atom_site_fract_x
_atom_site_fract_y
_atom_site_fract_z
_atom_site_occupancy
Er1 0.2500 0.2500 0.2500 1
Co1 0.0000 0.0000 0.0000 1
Ir1 0.0000 0.0000 0.5000 1


No. 2
# Li3Tb3Te2O12 | the Alexandria database | GGA-PBE | optimized geometry
# ΔE_f (raw)   -226.8 kJ per mole of atoms
# Calculated density   6.5 g/cm3
data_Li3Tb3Te2O12
_chemical_formula_sum 'Li24 Tb24 Te16 O96'
_cell_length_a 12.4516
_cell_length_b 12.4516
_cell_length_c 12.4516
_cell_angle_alpha 90.00
_cell_angle_beta 90.00
_cell_angle_gamma 90.00
_symmetry_space_group_name_H-M 'I a -3 d'
_symmetry_Int_Tables_number 230
_symmetry_space_group_name_Hall '-I 4bd 2c 3'
loop_
_atom_site_label
_atom_site_fract_x
_atom_site_fract_y
_atom_site_fract_z
_atom_site_occupancy
Li1 0.0000 0.2500 0.3750 1
Tb1 0.0000 0.2500 0.1250 1
Te1 0.0000 0.0000 0.0000 1
O1 0.0258 0.0527 0.6458 1


No. 3
# Y2O3 | the Alexandria database | GGA-PBE | optimized geometry
# ΔE_f (raw)   -338.2 kJ per mole of atoms
# Calculated density   5.3 g/cm3
data_Y2O3
_chemical_formula_sum 'Y12 O18'
_cell_length_a 14.1247
_cell_length_b 3.5150
_cell_length_c 8.6909
_cell_angle_alpha 90.00
_cell_angle_beta 100.40
_cell_angle_gamma 90.00
_symmetry_space_group_name_H-M 'C 1 2/m 1'
_symmetry_Int_Tables_number 12
loop_
_symmetry_equiv_pos_as_xyz
'x,y,z'
'-x,-y,-z'
'-x,y,-z'
'x,-y,z'
'x+1/2,y+1/2,z'
'-x+1/2,-y+1/2,-z'
'-x+1/2,y+1/2,-z'
'x+1/2,-y+1/2,z'
loop_
_atom_site_label
_atom_site_fract_x
_atom_site_fract_y
_atom_site_fract_z
_atom_site_occupancy
Y1 0.0323 0.0000 0.3137 1
Y2 0.1352 0.5000 0.9879 1
Y3 0.1912 0.5000 0.6372 1
O1 0.0000 0.5000 0.5000 1
O2 0.0293 0.5000 0.1570 1
O3 0.1277 0.0000 0.7816 1
O4 0.1745 0.0000 0.4695 1
O5 0.2067 0.0000 0.1227 1


No. 4
# HoCo3C2 | the Alexandria database | GGA-PBE | optimized geometry
# ΔH_f (0 K)   -0.060 eV/atom
# Calculated density   9.2 g/cm3
data_HoCo3C2
_chemical_formula_sum 'Ho4 Co12 C8'
_cell_length_a 12.4333
_cell_length_b 3.4793
_cell_length_c 6.7397
_cell_angle_alpha 90.00
_cell_angle_beta 115.67
_cell_angle_gamma 90.00
_symmetry_space_group_name_H-M 'C 1 2/m 1'
_symmetry_Int_Tables_number 12
loop_
_symmetry_equiv_pos_as_xyz
'x,y,z'
'-x,-y,-z'
'-x,y,-z'
'x,-y,z'
'x+1/2,y+1/2,z'
'-x+1/2,-y+1/2,-z'
'-x+1/2,y+1/2,-z'
'x+1/2,-y+1/2,z'
loop_
_atom_site_label
_atom_site_fract_x
_atom_site_fract_y
_atom_site_fract_z
_atom_site_occupancy
Ho1 0.1423 0.0000 0.0533 1
Co1 0.0545 0.0000 0.3845 1
Co2 0.1069 0.5000 0.6857 1
Co3 0.1926 0.5000 0.4056 1
C1 0.0267 0.5000 0.2381 1
C2 0.1828 0.0000 0.6947 1


No. 5
# Hf2PaIn | the Alexandria database | GGA-PBE | optimized geometry
# ΔH_f (0 K)   -0.018 eV/atom
# Energy above the most stable polymorph in this dataset   16 meV/atom
# Calculated density   12.7 g/cm3
data_Hf2PaIn
_chemical_formula_sum 'Hf2 Pa1 In1'
_cell_length_a 3.2401
_cell_length_b 4.1588
_cell_length_c 6.8177
_cell_angle_alpha 90.00
_cell_angle_beta 90.00
_cell_angle_gamma 90.00
_symmetry_space_group_name_H-M 'P m m m'
_symmetry_Int_Tables_number 47
loop_
_symmetry_equiv_pos_as_xyz
'x,y,z'
'-x,-y,-z'
'-x,-y,z'
'x,y,-z'
'x,-y,-z'
'-x,y,z'
'-x,y,-z'
'x,-y,z'
loop_
_atom_site_label
_atom_site_fract_x
_atom_site_fract_y
_atom_site_fract_z
_atom_site_occupancy
Hf1 0.0000 0.0000 0.2479 1
Pa1 0.5000 0.5000 0.0000 1
In1 0.5000 0.5000 0.5000 1


No. 6
# TbCd5Au6 | the Alexandria database | GGA-PBE | optimized geometry
# ΔH_f (0 K)   -0.309 eV/atom
# Calculated density   13.0 g/cm3
data_TbCd5Au6
_chemical_formula_sum 'Tb2 Cd10 Au12'
_cell_length_a 8.6274
_cell_length_b 14.0967
_cell_length_c 4.8166
_cell_angle_alpha 90.00
_cell_angle_beta 123.91
_cell_angle_gamma 90.00
_symmetry_space_group_name_H-M 'C 1 2/m 1'
_symmetry_Int_Tables_number 12
loop_
_symmetry_equiv_pos_as_xyz
'x,y,z'
'-x,-y,-z'
'-x,y,-z'
'x,-y,z'
'x+1/2,y+1/2,z'
'-x+1/2,-y+1/2,-z'
'-x+1/2,y+1/2,-z'
'x+1/2,-y+1/2,z'
loop_
_atom_site_label
_atom_site_fract_x
_atom_site_fract_y
_atom_site_fract_z
_atom_site_occupancy
Tb1 0.0000 0.0000 0.0000 1
Cd1 0.0000 0.1628 0.5000 1
Cd2 0.0000 0.3323 0.0000 1
Cd3 0.0000 0.5000 0.5000 1
Au1 0.2429 0.5000 0.2440 1
Au2 0.2448 0.3303 0.7468 1


No. 7
# Cs2PaTe4Pd2 | the Alexandria database | GGA-PBE | optimized geometry
# ΔE_f (raw)   -81.5 kJ per mole of atoms
# Calculated density   6.7 g/cm3
data_Cs2PaTe4Pd2
_chemical_formula_sum 'Cs4 Pa2 Te8 Pd4'
_cell_length_a 15.8261
_cell_length_b 4.3861
_cell_length_c 9.1241
_cell_angle_alpha 90.00
_cell_angle_beta 106.47
_cell_angle_gamma 90.00
_symmetry_space_group_name_H-M 'C 1 2/m 1'
_symmetry_Int_Tables_number 12
loop_
_symmetry_equiv_pos_as_xyz
'x,y,z'
'-x,-y,-z'
'-x,y,-z'
'x,-y,z'
'x+1/2,y+1/2,z'
'-x+1/2,-y+1/2,-z'
'-x+1/2,y+1/2,-z'
'x+1/2,-y+1/2,z'
loop_
_atom_site_label
_atom_site_fract_x
_atom_site_fract_y
_atom_site_fract_z
_atom_site_occupancy
Cs1 0.1390 0.0000 0.0702 1
Pa1 0.0000 0.0000 0.5000 1
Te1 0.0110 0.5000 0.2685 1
Te2 0.1950 0.0000 0.6620 1
Pd1 0.1713 0.5000 0.4828 1


No. 8
# Mg2ZrN | the Alexandria database | GGA-PBE | optimized geometry
# ΔE_f (raw)   -10.2 kJ per mole of atoms
# Calculated density   3.7 g/cm3
data_Mg2ZrN
_chemical_formula_sum 'Mg8 Zr4 N4'
_cell_length_a 7.8778
_cell_length_b 7.8778
_cell_length_c 4.4921
_cell_angle_alpha 90.00
_cell_angle_beta 90.00
_cell_angle_gamma 90.00
_symmetry_space_group_name_H-M 'I -4 2 d'
_symmetry_Int_Tables_number 122
_symmetry_space_group_name_Hall 'I -4 2bw'
loop_
_atom_site_label
_atom_site_fract_x
_atom_site_fract_y
_atom_site_fract_z
_atom_site_occupancy
Mg1 0.1424 0.7500 0.1250 1
Zr1 0.0000 0.0000 0.5000 1
N1 0.0000 0.0000 0.0000 1


No. 9
# MnAg3C | the Alexandria database | GGA-PBE | optimized geometry
# ΔH_f (0 K)   2.660 eV/atom
# Energy above the most stable polymorph in this dataset   1763 meV/atom
# Calculated density   6.0 g/cm3
data_MnAg3C
_chemical_formula_sum 'Mn1 Ag3 C1'
_cell_length_a 4.7755
_cell_length_b 4.7755
_cell_length_c 4.7755
_cell_angle_alpha 90.00
_cell_angle_beta 90.00
_cell_angle_gamma 90.00
_symmetry_space_group_name_H-M 'P m -3 m'
_symmetry_Int_Tables_number 221
_symmetry_space_group_name_Hall '-P 4 2 3'
loop_
_atom_site_label
_atom_site_fract_x
_atom_site_fract_y
_atom_site_fract_z
_atom_site_occupancy
Mn1 0.0000 0.0000 0.0000 1
Ag1 0.0000 0.0000 0.5000 1
C1 0.5000 0.5000 0.5000 1


No. 10
# SrAcCe2Se4 | the Alexandria database | GGA-PBE | optimized geometry
# ΔE_f (raw)   -178.1 kJ per mole of atoms
# Calculated density   6.6 g/cm3
data_SrAcCe2Se4
_chemical_formula_sum 'Sr1 Ac1 Ce2 Se4'
_cell_length_a 7.4857
_cell_length_b 4.3035
_cell_length_c 7.5734
_cell_angle_alpha 90.00
_cell_angle_beta 109.08
_cell_angle_gamma 90.00
_symmetry_space_group_name_H-M 'P 1 2/m 1'
_symmetry_Int_Tables_number 10
loop_
_symmetry_equiv_pos_as_xyz
'x,y,z'
'-x,-y,-z'
'-x,y,-z'
'x,-y,z'
loop_
_atom_site_label
_atom_site_fract_x
_atom_site_fract_y
_atom_site_fract_z
_atom_site_occupancy
Sr1 0.0000 0.0000 0.0000 1
Ac1 0.5000 0.5000 0.0000 1
Ce1 0.0000 0.5000 0.5000 1
Ce2 0.5000 0.0000 0.5000 1
Se1 0.2420 0.0000 0.7373 1
Se2 0.2505 0.5000 0.2605 1


No. 11
# CuIr2Pd | the Alexandria database | GGA-PBE | optimized geometry
# ΔH_f (0 K)   0.125 eV/atom
# Energy above the most stable polymorph in this dataset   0 meV/atom
# Calculated density   16.2 g/cm3
data_CuIr2Pd
_chemical_formula_sum 'Cu3 Ir6 Pd3'
_cell_length_a 2.7394
_cell_length_b 2.7394
_cell_length_c 26.1880
_cell_angle_alpha 90.00
_cell_angle_beta 90.00
_cell_angle_gamma 120.00
_symmetry_space_group_name_H-M 'R -3 m'
_symmetry_Int_Tables_number 166
_symmetry_space_group_name_Hall '-R 3 2"'
loop_
_atom_site_label
_atom_site_fract_x
_atom_site_fract_y
_atom_site_fract_z
_atom_site_occupancy
Cu1 0.0000 0.0000 0.0000 1
Ir1 0.0000 0.0000 0.2529 1
Pd1 0.0000 0.0000 0.5000 1


No. 12
# AlCrSe2 | the Alexandria database | GGA-PBE | optimized geometry
# Energy above the most stable polymorph in this dataset   45 meV/atom
# ΔE_f (raw)   -32.8 kJ per mole of atoms
# Calculated density   5.0 g/cm3
data_AlCrSe2
_chemical_formula_sum 'Al3 Cr3 Se6'
_cell_length_a 3.7760
_cell_length_b 3.7760
_cell_length_c 19.0316
_cell_angle_alpha 90.00
_cell_angle_beta 90.00
_cell_angle_gamma 120.00
_symmetry_space_group_name_H-M 'R -3 m'
_symmetry_Int_Tables_number 166
_symmetry_space_group_name_Hall '-R 3 2"'
loop_
_atom_site_label
_atom_site_fract_x
_atom_site_fract_y
_atom_site_fract_z
_atom_site_occupancy
Al1 0.0000 0.0000 0.0000 1
Cr1 0.0000 0.0000 0.5000 1
Se1 0.0000 0.0000 0.2535 1